(1)
A plane-wave DFT calculation with GGA-PBE was carried out for TlFe2Ru after structural relaxation.

Calculated formation energy ... 0.387 eV/atom
Raw total energy ... -6.754 eV/atom

Lattice parameters (Å, degrees): 3.130 3.130 6.226 90.00 90.00 90.00
Site moments in Bohr magnetons follow the coordinates.
Sites, in units of the cell vectors:
Fe1 0.500 0.500 0.241  2.73
Fe2 0.000 0.000 0.045  2.57
Ru1 0.000 0.000 0.457  0.73
Tl1 0.500 0.500 0.757  -0.04

(2)
A plane-wave DFT calculation with GGA-PBE was carried out for Fe3NiAs after structural relaxation.

Calculated formation energy ... 0.935 eV/atom
Raw total energy ... -6.229 eV/atom

Lattice parameters (Å, degrees): 4.343 4.343 4.343 90.00 90.00 90.00
Site moments in Bohr magnetons follow the coordinates.
Sites, in units of the cell vectors:
Ni1 0.500 0.500 0.500  0.90
As1 0.000 0.000 0.000  -0.06
Fe1 0.500 0.000 0.000  2.48
Fe2 0.000 0.000 0.500  2.56
Fe3 0.000 0.500 0.000  2.41

(3)
A plane-wave DFT calculation with GGA-PBE was carried out for LaY2Zr2 after structural relaxation.

Calculated formation energy ... 0.238 eV/atom
Raw total energy ... -6.753 eV/atom

Lattice parameters (Å, degrees): 9.288 9.288 3.459 90.00 90.00 90.00
Site moments in Bohr magnetons follow the coordinates.
Sites, in units of the cell vectors:
La1 0.500 0.500 0.000  0.14
La2 0.000 0.000 0.000  0.14
Zr1 0.170 0.670 0.500  0.04
Zr2 0.830 0.330 0.500  0.04
Zr3 0.330 0.170 0.500  0.04
Zr4 0.670 0.830 0.500  0.04
Y1 0.126 0.374 0.000  0.02
Y2 0.874 0.626 0.000  0.02
Y3 0.626 0.126 0.000  0.02
Y4 0.374 0.874 0.000  0.02

(4)
A plane-wave DFT calculation with GGA-PBE was carried out for SmGe4Rh2 after structural relaxation.

Calculated formation energy ... -0.654 eV/atom
Raw total energy ... -6.067 eV/atom

Lattice parameters (Å, degrees): 4.277 6.676 17.415 90.00 90.00 90.00
Sites, in units of the cell vectors:
Rh1 0.250 0.749 0.531
Rh2 0.250 0.987 0.790
Rh3 0.750 0.013 0.210
Rh4 0.250 0.513 0.290
Rh5 0.750 0.251 0.469
Rh6 0.750 0.249 0.969
Rh7 0.750 0.487 0.710
Rh8 0.250 0.751 0.031
Ge1 0.250 0.802 0.182
Ge2 0.250 0.033 0.934
Ge3 0.250 0.698 0.682
Ge4 0.250 0.216 0.193
Ge5 0.750 0.533 0.566
Ge6 0.750 0.637 0.967
Ge7 0.750 0.967 0.066
Ge8 0.750 0.863 0.467
Ge9 0.250 0.137 0.533
Ge10 0.750 0.716 0.307
Ge11 0.250 0.363 0.033
Ge12 0.250 0.467 0.434
Ge13 0.750 0.302 0.318
Ge14 0.750 0.784 0.807
Ge15 0.750 0.198 0.818
Ge16 0.250 0.284 0.693
Sm1 0.750 0.002 0.642
Sm2 0.250 0.502 0.858
Sm3 0.750 0.498 0.142
Sm4 0.250 0.998 0.358

(5)
A plane-wave DFT calculation with GGA-PBE was carried out for Ti2Cr2Bi after structural relaxation.

Calculated formation energy ... 0.180 eV/atom
Raw total energy ... -7.604 eV/atom

Lattice parameters (Å, degrees): 7.141 7.141 3.271 90.00 90.00 90.00
Sites, in units of the cell vectors:
Cr1 0.599 0.099 0.000
Cr2 0.901 0.599 0.000
Cr3 0.099 0.401 0.000
Cr4 0.401 0.901 0.000
Ti1 0.184 0.684 0.500
Ti2 0.316 0.184 0.500
Ti3 0.684 0.816 0.500
Ti4 0.816 0.316 0.500
Bi1 0.000 0.000 0.000
Bi2 0.500 0.500 0.000

(6)
A plane-wave DFT calculation with GGA-PBE was carried out for NaSr2GaF8 after structural relaxation.

Raw total energy ... -5.179 eV/atom
Formation energy without anion corrections ... -75.8 kcal/mol of atoms

Lattice parameters (Å, degrees): 5.166 5.196 7.447 89.74 89.91 91.55
Site moments in Bohr magnetons follow the coordinates.
Sites, in units of the cell vectors:
F1 0.724 0.737 0.995  0.01
F2 0.695 0.703 0.503  0.06
F3 0.168 0.812 0.190  0.02
F4 0.276 0.263 0.005  0.01
F5 0.175 0.826 0.808  0.02
F6 0.305 0.297 0.497  0.06
F7 0.832 0.188 0.810  0.02
F8 0.825 0.174 0.192  0.02
Na1 0.000 0.000 0.500  0.00
Sr1 0.507 0.504 0.246  0.00
Sr2 0.493 0.496 0.754  0.00
Ga1 0.000 0.000 0.000  0.00

(7)
A plane-wave DFT calculation with GGA-PBE was carried out for ScSb2P after structural relaxation.

Raw total energy ... -5.140 eV/atom
Formation energy without anion corrections ... -3.3 kcal/mol of atoms

Lattice parameters (Å, degrees): 4.075 4.075 5.628 90.00 90.00 90.00
Sites, in units of the cell vectors:
Sb1 0.500 0.000 0.000
Sb2 0.000 0.500 0.000
P1 0.000 0.000 0.500
Sc1 0.500 0.500 0.500

(8)
A plane-wave DFT calculation with GGA-PBE was carried out for Tb2Co5Ni12 after structural relaxation.

Calculated formation energy ... -0.168 eV/atom
Raw total energy ... -6.177 eV/atom

Lattice parameters (Å, degrees): 6.262 6.262 6.262 82.96 82.96 82.96
Site moments in Bohr magnetons follow the coordinates.
Sites, in units of the cell vectors:
Ni1 0.852 0.343 0.343  0.47
Ni2 0.296 0.704 0.000  0.48
Ni3 0.657 0.657 0.148  0.47
Ni4 0.000 0.704 0.296  0.48
Ni5 0.657 0.148 0.657  0.47
Ni6 0.148 0.657 0.657  0.47
Ni7 0.704 0.296 0.000  0.48
Ni8 0.704 0.000 0.296  0.48
Ni9 0.343 0.343 0.852  0.47
Ni10 0.296 0.000 0.704  0.48
Ni11 0.343 0.852 0.343  0.47
Ni12 0.000 0.296 0.704  0.48
Tb1 0.656 0.656 0.656  -0.19
Tb2 0.344 0.344 0.344  -0.19
Co1 0.095 0.095 0.095  1.71
Co2 0.905 0.905 0.905  1.71
Co3 0.000 0.500 0.000  1.55
Co4 0.500 0.000 0.000  1.55
Co5 0.000 0.000 0.500  1.55

(9)
A plane-wave DFT calculation with GGA-PBE was carried out for LaTeOs after structural relaxation.

Raw total energy ... -6.419 eV/atom
Formation energy without anion corrections ... 0.3 kcal/mol of atoms

Lattice parameters (Å, degrees): 6.341 6.341 3.481 74.07 74.07 31.86
Site moments in Bohr magnetons follow the coordinates.
Sites, in units of the cell vectors:
Te1 0.702 0.702 0.298  0.01
Os1 0.313 0.313 0.687  0.64
La1 0.985 0.985 0.015  0.04

(10)
A plane-wave DFT calculation with GGA-PBE was carried out for BCF2 after structural relaxation.

Raw total energy ... -3.082 eV/atom
Formation energy without anion corrections ... 42.2 kcal/mol of atoms

Lattice parameters (Å, degrees): 3.807 3.807 3.807 60.00 60.00 60.00
Sites, in units of the cell vectors:
F1 0.750 0.750 0.750
F2 0.250 0.250 0.250
C1 0.500 0.500 0.500
B1 0.000 0.000 0.000

(11)
A plane-wave DFT calculation with GGA-PBE was carried out for BeSb3Te after structural relaxation.

Raw total energy ... -2.465 eV/atom
Formation energy without anion corrections ... 31.9 kcal/mol of atoms

Lattice parameters (Å, degrees): 5.728 5.728 5.728 90.00 90.00 90.00
Sites, in units of the cell vectors:
Be1 0.500 0.500 0.500
Sb1 0.000 0.500 0.000
Sb2 0.500 0.000 0.000
Sb3 0.000 0.000 0.500
Te1 0.000 0.000 0.000

(12)
A plane-wave DFT calculation with GGA-PBE was carried out for BaZn12Ga6 after structural relaxation.

Calculated formation energy ... 0.002 eV/atom
Raw total energy ... -1.860 eV/atom

Lattice parameters (Å, degrees): 7.374 7.374 7.374 104.00 104.00 104.00
Sites, in units of the cell vectors:
Zn1 0.892 0.108 0.500
Zn2 0.892 0.500 0.108
Zn3 0.500 0.108 0.892
Zn4 0.401 0.401 0.162
Zn5 0.838 0.599 0.599
Zn6 0.162 0.401 0.401
Zn7 0.401 0.162 0.401
Zn8 0.599 0.838 0.599
Zn9 0.108 0.892 0.500
Zn10 0.108 0.500 0.892
Zn11 0.500 0.892 0.108
Zn12 0.599 0.599 0.838
Ga1 0.723 0.723 0.278
Ga2 0.278 0.723 0.723
Ga3 0.277 0.277 0.722
Ga4 0.723 0.278 0.723
Ga5 0.722 0.277 0.277
Ga6 0.277 0.722 0.277
Ba1 0.000 0.000 0.000